Density functional theory data (PBE) for crystalline SbIr2Br at its relaxed geometry.

Lattice parameters (Å, degrees): 5.498 5.498 5.498 138.44 138.44 60.23
Sites, in units of the cell vectors:
1 Sb 0.500 0.500 0.000
2 Ir 0.000 0.000 0.000
3 Ir 0.250 0.750 0.500
4 Br 0.750 0.250 0.500

Values from the calculation:
**ΔE_f (raw)**: 0.8638 eV/atom
**ΔE to the lowest computed polymorph**: 518 meV/atom
**Crystal system**: tetragonal